Record 1
Ba2LaZr | PBE | relaxed

The energy above the lowest structure with this stoichiometry comes out at 0.3037 eV per atom. For the density of states at the Fermi level, the calculation gives 2.227 states/eV per atom. The formation energy comes out at 0.6309 eV/atom.

The structure belongs to space group Fm-3m (No. 225); the cell edges are 8.612, 8.612 and 8.612 Å and the angles 90.00°, 90.00° and 90.00°. The distinct sites, in fractional coordinates, are Ba at (0.250, 0.250, 0.250), La at (0.000, 0.000, 0.000) and Zr at (0.000, 0.000, 0.500).

---

Record 2
Ba2LaZr2 | PBE | relaxed

The energy above the lowest structure with this stoichiometry comes out at 0.1107 eV per atom. For the density of states at the Fermi level, the calculation gives 1.649 states/eV per atom. The formation energy comes out at 0.6729 eV/atom.

The structure belongs to space group P4/mbm (No. 127); the cell edges are 10.077, 10.077 and 3.448 Å and the angles 90.00°, 90.00° and 90.00°. The distinct sites, in fractional coordinates, are Ba at (0.191, 0.309, 0.000), La at (0.000, 0.000, 0.000) and Zr at (0.104, 0.604, 0.500).

---

Record 3
Ba2LaZr | PBE | relaxed

The energy above the lowest structure with this stoichiometry comes out at 0.1708 eV per atom. For the density of states at the Fermi level, the calculation gives 1.418 states/eV per atom. The formation energy comes out at 0.4981 eV/atom.

The structure belongs to space group C2/m (No. 12); the cell edges are 13.269, 3.778 and 6.321 Å and the angles 90.00°, 103.40° and 90.00°. The distinct sites, in fractional coordinates, are Ba at (0.232, 0.000, 0.237), La at (0.000, 0.000, 0.500) and Zr at (0.000, 0.500, 0.000).

---

Record 4
BaLa2Zr | PBE | relaxed

The energy above the lowest structure with this stoichiometry comes out at 0.1453 eV per atom. For the density of states at the Fermi level, the calculation gives 1.801 states/eV per atom. The formation energy comes out at 0.3316 eV/atom.

The structure belongs to space group P4mm (No. 99); the cell edges are 4.167, 4.167 and 8.656 Å and the angles 90.00°, 90.00° and 90.00°. The distinct sites, in fractional coordinates, are Ba at (0.000, 0.000, 0.000), La at (0.000, 0.000, 0.578), La at (0.500, 0.500, 0.335) and Zr at (0.500, 0.500, 0.724).

---

Record 5
Ba3Li11 | PBE | relaxed

For the density of states at the Fermi level, the calculation gives 0.663 states/eV per atom. The formation energy comes out at 0.0391 eV/atom.

The structure belongs to space group Immm (No. 71); the cell edges are 4.955, 11.487 and 15.168 Å and the angles 90.00°, 90.00° and 90.00°. The distinct sites, in fractional coordinates, are Ba at (0.000, 0.000, 0.000), Ba at (0.000, 0.000, 0.306), Li at (0.000, 0.210, 0.500), Li at (0.000, 0.280, 0.113), Li at (0.000, 0.332, 0.316) and Li at (0.000, 0.500, 0.000).

---

Record 6
BaLi | PBE | relaxed

The energy above the lowest structure with this stoichiometry comes out at 0.1967 eV per atom. For the density of states at the Fermi level, the calculation gives 1.297 states/eV per atom. The formation energy comes out at 0.2396 eV/atom.

The structure belongs to space group Fm-3m (No. 225); the cell edges are 7.375, 7.375 and 7.375 Å and the angles 90.00°, 90.00° and 90.00°. The distinct sites, in fractional coordinates, are Ba at (0.000, 0.000, 0.000) and Li at (0.000, 0.000, 0.500).

---

Record 7
Ba2Li | PBE | relaxed

The energy above the lowest structure with this stoichiometry comes out at 0.0424 eV per atom. For the density of states at the Fermi level, the calculation gives 1.305 states/eV per atom. The formation energy comes out at 0.0736 eV/atom.

The structure belongs to space group P6_3/mmc (No. 194); the cell edges are 6.5208, 6.5208 and 8.1433 Å and the angles 90.00°, 90.00° and 120.00°. The distinct sites, in fractional coordinates, are Ba at (0.0000, 0.0000, 0.0000), Ba at (0.3333, 0.6667, 0.2500) and Li at (0.3333, 0.6667, 0.7500).

---

Record 8
Ba3Li | PBE | relaxed

For the density of states at the Fermi level, the calculation gives 1.327 states/eV per atom. The formation energy comes out at 0.1129 eV/atom.

The structure belongs to space group R-3m (No. 166, hexagonal axes); the cell edges are 4.3710, 4.3710 and 40.1129 Å and the angles 90.00°, 90.00° and 120.00°. The distinct sites, in fractional coordinates, are Ba at (0.0000, 0.0000, 0.0000), Ba at (0.0000, 0.0000, 0.2393) and Li at (0.0000, 0.0000, 0.5000).

---

Record 9
Ba5Li | PBE | relaxed

The energy above the lowest structure with this stoichiometry comes out at 0.0314 eV per atom. For the density of states at the Fermi level, the calculation gives 1.478 states/eV per atom. The formation energy comes out at 0.0588 eV/atom.

The structure belongs to space group Amm2 (No. 38); the cell edges are 6.860, 4.925 and 20.290 Å and the angles 90.00°, 90.00° and 90.00°. The distinct sites, in fractional coordinates, are Ba at (0.000, 0.000, 0.000), Ba at (0.000, 0.000, 0.306), Ba at (0.500, 0.000, 0.153), Ba at (0.500, 0.000, 0.483), Ba at (0.500, 0.000, 0.823) and Li at (0.000, 0.000, 0.654).

---

Record 10
BaLi | PBE | relaxed

The energy above the lowest structure with this stoichiometry comes out at 0.0191 eV per atom. For the density of states at the Fermi level, the calculation gives 0.968 states/eV per atom. The formation energy comes out at 0.0620 eV/atom.

The structure belongs to space group Imma (No. 74); the cell edges are 4.209, 6.225 and 12.821 Å and the angles 90.00°, 90.00° and 90.00°. The distinct sites, in fractional coordinates, are Ba at (0.000, 0.250, 0.102) and Li at (0.000, 0.250, 0.664).

---

Record 11
Ba5Li | PBE | relaxed

The energy above the lowest structure with this stoichiometry comes out at 0.0823 eV per atom. For the density of states at the Fermi level, the calculation gives 1.394 states/eV per atom. The formation energy comes out at 0.1098 eV/atom.

The structure belongs to space group I4/mcm (No. 140); the cell edges are 9.062, 9.062 and 16.840 Å and the angles 90.00°, 90.00° and 90.00°. The distinct sites, in fractional coordinates, are Ba at (0.000, 0.000, 0.000), Ba at (0.162, 0.338, 0.141) and Li at (0.000, 0.000, 0.250).

---

Record 12
BaLi8 | PBE | relaxed

For the density of states at the Fermi level, the calculation gives 0.397 states/eV per atom. The formation energy comes out at 0.0718 eV/atom.

The structure belongs to space group I4/mmm (No. 139); the cell edges are 10.000, 10.000 and 4.570 Å and the angles 90.00°, 90.00° and 90.00°. The distinct sites, in fractional coordinates, are Ba at (0.000, 0.000, 0.000), Li at (0.000, 0.351, 0.000) and Li at (0.191, 0.191, 0.500).